Entry 1:
Computed, not measured: a geometry-optimized YErGa2Ni4 structure at the PBE-GGA level of DFT.

a b c (Å): 4.1418 4.1418 8.8503
angles (deg): 90.00 90.00 120.00
Closest atoms and distances in Å follow each position.
Atoms (fractional coordinates):
Ni 0.0000 0.0000 0.8099  3 Ga 2.45, 3 Ni 2.64, 1 Er 2.74
Ni 0.0000 0.0000 0.1901  3 Ga 2.45, 3 Ni 2.64, 1 Er 2.74
Ni 0.3333 0.6667 0.3177  3 Ga 2.46, 3 Ni 2.64
Ni 0.3333 0.6667 0.6823  3 Ga 2.46, 3 Ni 2.64
Ga 0.6667 0.3333 0.7483  6 Ni 2.45-2.46
Ga 0.6667 0.3333 0.2517  6 Ni 2.45-2.46
Y 0.3333 0.6667 0.0000  8 Ni 2.81-2.92
Er 0.0000 0.0000 0.5000  8 Ni 2.74-2.88

## Properties
Density (Mg/m³): 7.96
Energy (eV per cell): -43.95
M_tot (μB/atom): 0.00
Calculated volume (Å³/cell): 131.5
Crystal system: hexagonal

Entry 2:
Computed, not measured: a geometry-optimized KHoNO structure at the PBE-GGA level of DFT.

a b c (Å): 3.9276 6.1537 7.1901
angles (deg): 90.00 90.00 90.00
Closest atoms and distances in Å follow each position.
Atoms (fractional coordinates):
Ho 0.5000 0.0033 0.1537  2 O 2.11-2.12, 2 N 2.26
Ho 0.5000 0.5033 0.8463  2 O 2.11-2.12, 2 N 2.26
K 0.0000 0.4755 0.3280  2 O 2.66, 2 N 2.72-2.82
K 0.0000 0.9755 0.6720  2 O 2.66, 2 N 2.72-2.82
N 0.0000 0.9318 0.2953  2 Ho 2.26
N 0.0000 0.4318 0.7047  2 Ho 2.26
O 0.5000 0.8435 0.8935  2 Ho 2.11-2.12
O 0.5000 0.3435 0.1065  2 Ho 2.11-2.12

## Properties
Density (Mg/m³): 4.47
Excess energy over the best structure of this formula in the dataset (eV per atom): 0.0268
M_tot (μB/atom): 0.25
Calculated volume (Å³/cell): 173.8
Crystal system: orthorhombic

Entry 3:
Computed, not measured: a geometry-optimized LaTm2In3AgPt2 structure at the PBE-GGA level of DFT.

a b c (Å): 3.8117 7.8986 7.8986
angles (deg): 120.37 90.00 90.00
Closest atoms and distances in Å follow each position.
Atoms (fractional coordinates):
Pt 0.5000 0.3299 0.6728  3 In 2.83-3.00, 4 Tm 3.02-3.03, 2 La 3.11
Pt 0.5000 0.6728 0.3299  3 In 2.83-3.00, 4 Tm 3.02-3.03, 2 La 3.11
In 0.5000 0.9942 0.2662  2 Pt 2.83-2.96, 2 Ag 2.86, 2 Tm 3.16
In 0.5000 0.7385 0.7385  2 Ag 2.79, 2 Pt 3.00
In 0.5000 0.2662 0.9942  2 Pt 2.83-2.96, 2 Ag 2.86, 2 Tm 3.16
Tm 0.0000 0.5889 0.0000  4 Pt 3.02-3.03, 2 In 3.16, 1 Ag 3.24
Tm 0.0000 0.0000 0.5889  4 Pt 3.02-3.03, 2 In 3.16, 1 Ag 3.24
La 0.0000 0.4118 0.4118  4 Pt 3.11, 6 In 3.20-3.46, 1 Ag 3.25
Ag 0.0000 0.9980 0.9980  6 In 2.79-2.86

## Properties
Density (Mg/m³): 10.68
Energy (eV per cell): -44.24
M_tot (μB/atom): 0.00
Calculated volume (Å³/cell): 205.2
Crystal system: orthorhombic

Entry 4:
Computed, not measured: a geometry-optimized ZnInCuRe structure at the PBE-GGA level of DFT.

a b c (Å): 4.4622 4.4622 4.4622
angles (deg): 60.00 60.00 60.00
Closest atoms and distances in Å follow each position.
Atoms (fractional coordinates):
Re 0.2500 0.2500 0.2500  4 Zn 2.73, 4 In 2.73
Zn 0.5000 0.5000 0.5000  4 Cu 2.73, 4 Re 2.73
In 0.0000 0.0000 0.0000  4 Cu 2.73, 4 Re 2.73
Cu 0.7500 0.7500 0.7500  4 Zn 2.73, 4 In 2.73

## Properties
Density (Mg/m³): 11.37
Excess energy over the best structure of this formula in the dataset (eV per atom): 0.0000
M_tot (μB/atom): 0.08
Calculated volume (Å³/cell): 62.8
Crystal system: cubic

Entry 5:
Computed, not measured: a geometry-optimized LaPuTh structure at the PBE-GGA level of DFT.

a b c (Å): 5.2420 5.2420 5.2420
angles (deg): 60.00 60.00 60.00
Closest atoms and distances in Å follow each position.
Atoms (fractional coordinates):
La 0.0000 0.0000 0.0000  4 Pu 3.21
Th 0.5000 0.5000 0.5000  4 Pu 3.21
Pu 0.2500 0.2500 0.2500  4 La 3.21, 4 Th 3.21

## Properties
Density (Mg/m³): 10.03
M_tot (μB/atom): 0.13
Calculated volume (Å³/cell): 101.9
ΔE_f (eV/atom): 1.41
Crystal system: cubic

Entry 6:
Computed, not measured: a geometry-optimized HoTmNi2Pb structure at the PBE-GGA level of DFT.

a b c (Å): 3.6360 7.3526 7.3526
angles (deg): 31.41 90.00 90.00
Closest atoms and distances in Å follow each position.
Atoms (fractional coordinates):
Ni 0.0000 0.2004 0.2004  2 Ni 2.43
Ni 0.0000 0.7994 0.7994  2 Ni 2.43
Tm 0.5000 0.6410 0.6410  6 Ni 2.82-2.89
Pb 0.0000 0.0001 0.0001  2 Ni 2.84
Ho 0.5000 0.3591 0.3591  6 Ni 2.82-2.89

## Properties
Density (Mg/m³): 10.67
Energy (eV per cell): -26.53
M_tot (μB/atom): 0.00
Calculated volume (Å³/cell): 102.4
Crystal system: orthorhombic